# PaTlRhO4 (GGA-PBE, relaxed)
# Total moment = 0.34 μB per formula unit
# Raw formation energy = -1912 meV per atom
# Density = 8.30 g/cm³
data_PaTlRhO4
_chemical_formula_sum 'Pa4 Tl4 Rh4 O16'
_space_group_name_H-M_alt 'I m m a'
_space_group_IT_number 74
_space_group_name_Hall '-I 2b 2'
_cell_length_a 5.612
_cell_length_b 6.959
_cell_length_c 12.335
_cell_angle_alpha 90.00
_cell_angle_beta 90.00
_cell_angle_gamma 90.00
loop_
_atom_site_label
_atom_site_fract_x
_atom_site_fract_y
_atom_site_fract_z
Pa1 0.000 0.000 0.000
Tl1 0.000 0.250 0.312
Rh1 0.250 0.250 0.750
O1 0.000 0.067 0.819
O2 0.226 0.250 0.022